Record 1
Entry from Alexandria: a relaxed Al2ZnW crystal (PBE).

Total magnetization ... 0.00 μB/cell
Space group ... I-42d (122)
VASP energy ... -0.181 Ha/atom

a = 6.9676 Å, b = 6.9676 Å, c = 5.6049 Å
α = 51.57°, β = 51.57°, γ = 90.00°
With the nearest neighbours (Å) after each atom.
Fractional positions:
1 Zn 0.5000 0.5000 0.0000  4 Al 2.45, 2 W 2.67
2 Zn 0.2500 0.7500 0.5000  4 Al 2.45, 2 W 2.67
3 Al 0.6021 0.1250 0.2500  2 Zn 2.45, 2 W 2.66, 2 Al 2.69
4 Al 0.1479 0.6250 0.2500  2 Zn 2.45, 2 W 2.66, 2 Al 2.69
5 Al 0.3750 0.3979 0.7500  2 Zn 2.45, 2 W 2.66, 2 Al 2.69
6 Al 0.8750 0.8521 0.7500  2 Zn 2.45, 2 W 2.66, 2 Al 2.69
7 W 0.0000 0.0000 0.0000  4 Al 2.66, 2 Zn 2.67
8 W 0.7500 0.2500 0.5000  4 Al 2.66, 2 Zn 2.67

=====

Record 2
Entry from Alexandria: a relaxed Al6ZnW2 crystal (PBE).

Total magnetization ... 0.00 μB/cell
Space group ... C2/m (12)
VASP energy ... -0.203 Ha/atom

a = 4.0579 Å, b = 6.0909 Å, c = 6.3834 Å
α = 109.20°, β = 108.53°, γ = 90.00°
With the nearest neighbours (Å) after each atom.
Fractional positions:
1 Al 0.3965 0.8357 0.7929  5 Al 2.61-2.84, 1 Zn 2.74, 4 W 2.75-2.77
2 Al 0.6035 0.1643 0.2071  5 Al 2.61-2.84, 1 Zn 2.74, 4 W 2.75-2.77
3 Al 0.7161 0.8502 0.4321  5 Al 2.66-2.80, 1 Zn 2.74, 3 W 2.83-2.84
4 Al 0.1683 0.5129 0.3367  2 W 2.74-2.80, 8 Al 2.78-3.00, 2 Zn 2.86
5 Al 0.2839 0.1498 0.5679  5 Al 2.66-2.80, 1 Zn 2.74, 3 W 2.83-2.84
6 Al 0.8317 0.4871 0.6633  2 W 2.74-2.80, 8 Al 2.78-3.00, 2 Zn 2.86
7 Zn 0.5000 0.5000 0.0000  8 Al 2.74-2.86, 4 W 2.78
8 W 0.9506 0.1668 0.9013  1 W 2.69, 9 Al 2.74-2.84, 2 Zn 2.78
9 W 0.0494 0.8332 0.0987  1 W 2.69, 9 Al 2.74-2.84, 2 Zn 2.78

=====

Record 3
Entry from Alexandria: a relaxed AlZn2W crystal (PBE).

Total magnetization ... 0.00 μB/cell
Space group ... Pmmm (47)
VASP energy ... -0.170 Ha/atom

a = 2.8598 Å, b = 4.5613 Å, c = 4.6538 Å
α = 90.00°, β = 90.00°, γ = 90.00°
With the nearest neighbours (Å) after each atom.
Fractional positions:
1 Zn 0.0000 0.0000 0.0000  6 Zn 2.69-2.86, 4 Al 2.73
2 Zn 0.5000 0.5000 0.0000  6 Zn 2.69-2.86, 4 W 2.73
3 Al 0.5000 0.0000 0.5000  4 W 2.69, 4 Zn 2.73, 2 Al 2.86
4 W 0.0000 0.5000 0.5000  4 Al 2.69, 4 Zn 2.73, 2 W 2.86

=====

Question: What is the formula in the first record?
Answer: Al2ZnW